Record 1
CaMgZn | PBE | optimized geometry

Summary:
Total magnetization in μB per atom: 0.000
E_form in eV per atom: -0.0450
D(E_F) in states/eV/cell: 6.76
Space group: Pmmn (59)

Geometry as POSCAR:
```
CaMgZn
1.0
4.2050 0.0000 0.0000
0.0000 14.2197 0.0000
0.0000 0.0000 5.6249
Ca Mg Zn
4 4 4
direct
0.2500 0.1145 0.1264
0.2500 0.3855 0.1264
0.7500 0.6145 0.8736
0.7500 0.8855 0.8736
0.2500 0.6480 0.3594
0.2500 0.8520 0.3594
0.7500 0.1480 0.6406
0.7500 0.3520 0.6406
0.2500 0.0170 0.6303
0.2500 0.4830 0.6303
0.7500 0.5170 0.3697
0.7500 0.9830 0.3697
```

=====

Record 2
CaMgZn2 | PBE | optimized geometry

Summary:
Total magnetization in μB per atom: 0.000
E_form in eV per atom: -0.0907
D(E_F) in states/eV/cell: 5.28
Space group: Cmcm (63)

Geometry as POSCAR:
```
CaMgZn2
1.0
3.3660 -4.1761 0.0000
3.3660 4.1761 0.0000
0.0000 0.0000 6.6172
Ca Mg Zn
2 2 4
direct
0.0000 0.0000 0.0000
0.0000 0.0000 0.5000
0.4020 0.5980 0.7500
0.5980 0.4020 0.2500
0.1140 0.5167 0.2500
0.4833 0.8860 0.2500
0.5167 0.1140 0.7500
0.8860 0.4833 0.7500
```

=====

Record 3
Ca6Mg3Zn | PBE | optimized geometry

Summary:
Total magnetization in μB per atom: 0.000
E_form in eV per atom: -0.0766
D(E_F) in states/eV/cell: 17.32
Space group: P2_1/m (11)

Geometry as POSCAR:
```
Ca6Mg3Zn
1.0
9.5682 0.0000 0.0000
0.0000 5.6795 0.0000
-4.4002 0.0000 11.7690
Ca Mg Zn
12 6 2
direct
0.0157 0.2500 0.4158
0.1739 0.7500 0.1580
0.2664 0.2500 0.0013
0.3517 0.7500 0.8251
0.3603 0.2500 0.3400
0.3925 0.2500 0.6445
0.6075 0.7500 0.3555
0.6397 0.7500 0.6600
0.6483 0.2500 0.1749
0.7336 0.7500 0.9987
0.8261 0.2500 0.8420
0.9843 0.7500 0.5842
0.0268 0.7500 0.8674
0.0878 0.2500 0.7233
0.2636 0.7500 0.4647
0.7364 0.2500 0.5353
0.9122 0.7500 0.2767
0.9732 0.2500 0.1326
0.4586 0.7500 0.0923
0.5414 0.2500 0.9077
```

=====

Record 4
Ca2MgZn | PBE | optimized geometry

Summary:
Total magnetization in μB per atom: 0.000
E_form in eV per atom: -0.1611
Excess energy over the best structure of this formula in the dataset in eV/atom: 0.002
D(E_F) in states/eV/cell: 3.05
Space group: P2/m (10)

Geometry as POSCAR:
```
Ca2MgZn
1.0
3.7391 0.0000 0.0000
0.0000 3.7045 0.0000
-0.0446 0.0000 8.0429
Ca Mg Zn
2 1 1
direct
0.9999 0.0000 0.2235
0.0001 0.0000 0.7765
0.5000 0.5000 0.5000
0.5000 0.5000 0.0000
```

=====

Record 5
CaMgZn | PBE | optimized geometry

Summary:
Total magnetization in μB per atom: 0.000
E_form in eV per atom: 0.1419
D(E_F) in states/eV/cell: 0.69
Space group: P-6m2 (187)

Geometry as POSCAR:
```
CaMgZn
1.0
5.2000 0.0000 0.0000
-2.6000 4.5033 0.0000
0.0000 0.0000 3.0526
Ca Mg Zn
1 1 1
direct
0.0000 0.0000 0.0000
0.3333 0.6667 0.0000
0.6667 0.3333 0.5000
```

=====

Record 6
CaMgZn2 | PBE | optimized geometry

Summary:
Total magnetization in μB per atom: 0.000
E_form in eV per atom: 0.3377
D(E_F) in states/eV/cell: 2.68
Space group: Immm (71)

Geometry as POSCAR:
```
CaMgZn2
1.0
-1.7061 2.6760 5.7885
1.7061 -2.6760 5.7885
1.7061 2.6760 -5.7885
Ca Mg Zn
1 1 2
direct
0.0000 0.0000 0.0000
0.5000 0.5000 0.0000
0.2668 0.2668 0.0000
0.7332 0.7332 0.0000
```

=====

Record 7
Ca2MgZn2 | PBE | optimized geometry

Summary:
Total magnetization in μB per atom: 0.000
E_form in eV per atom: -0.0561
D(E_F) in states/eV/cell: 8.42
Space group: Cmcm (63)

Geometry as POSCAR:
```
Ca2MgZn2
1.0
2.2871 -12.9955 0.0000
2.2871 12.9955 0.0000
0.0000 0.0000 4.4587
Ca Mg Zn
4 2 4
direct
0.0593 0.9407 0.7500
0.2509 0.7491 0.2500
0.7491 0.2509 0.7500
0.9407 0.0593 0.2500
0.3596 0.6404 0.7500
0.6404 0.3596 0.2500
0.1726 0.8274 0.7500
0.4726 0.5274 0.7500
0.5274 0.4726 0.2500
0.8274 0.1726 0.2500
```

=====

Record 8
CaMgZn2 | PBE | optimized geometry

Summary:
Total magnetization in μB per atom: 0.000
E_form in eV per atom: -0.0314
D(E_F) in states/eV/cell: 2.96
Space group: P4/nmm (129)

Geometry as POSCAR:
```
CaMgZn2
1.0
4.0424 0.0000 0.0000
0.0000 4.0424 0.0000
0.0000 0.0000 11.2133
Ca Mg Zn
2 2 4
direct
0.2500 0.2500 0.1984
0.7500 0.7500 0.8016
0.2500 0.2500 0.6672
0.7500 0.7500 0.3328
0.2500 0.2500 0.9258
0.2500 0.7500 0.5000
0.7500 0.2500 0.5000
0.7500 0.7500 0.0742
```

=====

Record 9
Ca4MgZn2 | PBE | optimized geometry

Summary:
Total magnetization in μB per atom: 0.000
E_form in eV per atom: 0.2068
Excess energy over the best structure of this formula in the dataset in eV/atom: 0.320
D(E_F) in states/eV/cell: 6.15
Space group: I4/mmm (139)

Geometry as POSCAR:
```
Ca4MgZn2
1.0
-2.9717 2.9717 7.3469
2.9717 -2.9717 7.3469
2.9717 2.9717 -7.3469
Ca Mg Zn
4 1 2
direct
0.0000 0.5000 0.5000
0.2143 0.2143 0.0000
0.5000 0.0000 0.5000
0.7857 0.7857 0.0000
0.0000 0.0000 0.0000
0.4160 0.4160 0.0000
0.5840 0.5840 0.0000
```

=====

Record 10
CaMgZn | PBE | optimized geometry

Summary:
Total magnetization in μB per atom: 0.000
E_form in eV per atom: -0.0966
D(E_F) in states/eV/cell: 3.59
Space group: Cmcm (63)

Geometry as POSCAR:
```
CaMgZn
1.0
2.3114 -5.6563 0.0000
2.3114 5.6563 0.0000
0.0000 0.0000 5.7984
Ca Mg Zn
2 2 2
direct
0.2201 0.7799 0.7500
0.7799 0.2201 0.2500
0.0649 0.9351 0.2500
0.9351 0.0649 0.7500
0.5000 0.5000 0.0000
0.5000 0.5000 0.5000
```

=====

Record 11
Ca2MgZn | PBE | optimized geometry

Summary:
Total magnetization in μB per atom: 0.000
E_form in eV per atom: -0.1305
Excess energy over the best structure of this formula in the dataset in eV/atom: 0.032
D(E_F) in states/eV/cell: 5.21
Space group: Cmcm (63)

Geometry as POSCAR:
```
Ca2MgZn
1.0
1.8851 -6.4628 0.0000
1.8851 6.4628 0.0000
0.0000 0.0000 9.4059
Ca Mg Zn
4 2 2
direct
0.1322 0.8678 0.5601
0.1322 0.8678 0.9399
0.8678 0.1322 0.0601
0.8678 0.1322 0.4399
0.4365 0.5635 0.7500
0.5635 0.4365 0.2500
0.2283 0.7717 0.2500
0.7717 0.2283 0.7500
```

=====

Record 12
Ca2MgZn2 | PBE | optimized geometry

Summary:
Total magnetization in μB per atom: 0.000
E_form in eV per atom: -0.1268
D(E_F) in states/eV/cell: 7.06
Space group: Cmc2_1 (36)

Geometry as POSCAR:
```
Ca2MgZn2
1.0
1.8746 -7.2838 0.0000
1.8746 7.2838 0.0000
0.0000 0.0000 9.6369
Ca Mg Zn
4 2 4
direct
0.0650 0.9350 0.5000
0.1873 0.8127 0.1001
0.8127 0.1873 0.6001
0.9350 0.0650 0.0000
0.3670 0.6330 0.3158
0.6330 0.3670 0.8158
0.2911 0.7089 0.8402
0.4573 0.5427 0.7226
0.5427 0.4573 0.2226
0.7089 0.2911 0.3402
```

=====

Record 13
CaMgZn | PBE | optimized geometry

Summary:
Total magnetization in μB per atom: 0.000
E_form in eV per atom: 0.3525
D(E_F) in states/eV/cell: 1.42
Space group: F-43m (216)

Geometry as POSCAR:
```
CaMgZn
1.0
0.0000 3.6123 3.6123
3.6123 0.0000 3.6123
3.6123 3.6123 0.0000
Ca Mg Zn
1 1 1
direct
0.0000 0.0000 0.0000
0.7500 0.7500 0.7500
0.2500 0.2500 0.2500
```

=====

Record 14
CaMg2Zn | PBE | optimized geometry

Summary:
Total magnetization in μB per atom: 0.000
E_form in eV per atom: -0.0314
D(E_F) in states/eV/cell: 3.77
Space group: Pmmn (59)

Geometry as POSCAR:
```
CaMg2Zn
1.0
3.3636 0.0000 0.0000
0.0000 3.4945 0.0000
0.0000 0.0000 16.9329
Ca Mg Zn
2 4 2
direct
0.2500 0.2500 0.2340
0.7500 0.7500 0.7660
0.2500 0.2500 0.4405
0.2500 0.7500 0.0599
0.7500 0.2500 0.9401
0.7500 0.7500 0.5595
0.2500 0.2500 0.6501
0.7500 0.7500 0.3499
```

=====

Record 15
Ca5Mg2Zn | PBE | optimized geometry

Summary:
Total magnetization in μB per atom: 0.000
E_form in eV per atom: -0.0813
D(E_F) in states/eV/cell: 16.13
Space group: Pbam (55)

Geometry as POSCAR:
```
Ca5Mg2Zn
1.0
7.0168 0.0000 0.0000
0.0000 13.5146 0.0000
0.0000 0.0000 5.4487
Ca Mg Zn
10 4 2
direct
0.0000 0.0000 0.0000
0.1097 0.2779 0.0000
0.1671 0.5998 0.5000
0.3329 0.0998 0.5000
0.3903 0.7779 0.0000
0.5000 0.5000 0.0000
0.6097 0.2221 0.0000
0.6671 0.9002 0.5000
0.8329 0.4002 0.5000
0.8903 0.7221 0.0000
0.1481 0.8603 0.5000
0.3519 0.3603 0.5000
0.6481 0.6397 0.5000
0.8519 0.1397 0.5000
0.0000 0.5000 0.0000
0.5000 0.0000 0.0000
```

=====

Record 16
CaMgZn | PBE | optimized geometry

Summary:
Total magnetization in μB per atom: 0.000
E_form in eV per atom: -0.0580
D(E_F) in states/eV/cell: 9.94
Space group: P2_13 (198)

Geometry as POSCAR:
```
CaMgZn
1.0
6.9236 0.0000 0.0000
0.0000 6.9236 0.0000
0.0000 0.0000 6.9236
Ca Mg Zn
4 4 4
direct
0.1558 0.1558 0.1558
0.3442 0.8442 0.6558
0.6558 0.3442 0.8442
0.8442 0.6558 0.3442
0.1604 0.3396 0.6604
0.3396 0.6604 0.1604
0.6604 0.1604 0.3396
0.8396 0.8396 0.8396
0.0371 0.5371 0.9629
0.4629 0.4629 0.4629
0.5371 0.9629 0.0371
0.9629 0.0371 0.5371
```

=====

Record 17
CaMgZn | PBE | optimized geometry

Summary:
Total magnetization in μB per atom: 0.000
E_form in eV per atom: -0.1775
D(E_F) in states/eV/cell: 9.31
Space group: Amm2 (38)

Geometry as POSCAR:
```
CaMgZn
1.0
9.3625 0.0000 0.0000
0.0000 3.0107 5.1369
0.0000 -3.0107 5.1369
Ca Mg Zn
4 4 4
direct
0.1775 0.0000 0.0000
0.3005 0.6647 0.6647
0.6995 0.6647 0.6647
0.8225 0.0000 0.0000
0.2290 0.3274 0.3274
0.5000 0.1637 0.6682
0.5000 0.6682 0.1637
0.7710 0.3274 0.3274
0.0000 0.5104 0.5104
0.0000 0.5150 0.9697
0.0000 0.9697 0.5150
0.5000 0.1626 0.1626
```

=====

Record 18
Ca3MgZn | PBE | optimized geometry

Summary:
Total magnetization in μB per atom: 0.000
E_form in eV per atom: 0.0980
Excess energy over the best structure of this formula in the dataset in eV/atom: 0.200
D(E_F) in states/eV/cell: 5.79
Space group: Pm-3m (221)

Geometry as POSCAR:
```
Ca3MgZn
1.0
5.7246 0.0000 0.0000
0.0000 5.7246 0.0000
0.0000 0.0000 5.7246
Ca Mg Zn
3 1 1
direct
0.0000 0.0000 0.5000
0.0000 0.5000 0.0000
0.5000 0.0000 0.0000
0.5000 0.5000 0.5000
0.0000 0.0000 0.0000
```

=====

Record 19
Ca3MgZn3 | PBE | optimized geometry

Summary:
Total magnetization in μB per atom: 0.000
E_form in eV per atom: -0.1933
Excess energy over the best structure of this formula in the dataset in eV/atom: 0.021
D(E_F) in states/eV/cell: 7.53
Space group: P2_1/m (11)

Geometry as POSCAR:
```
Ca3MgZn3
1.0
8.9853 0.0000 0.0000
0.0000 4.3725 0.0000
-3.7165 0.0000 9.8288
Ca Mg Zn
6 2 6
direct
0.0314 0.2500 0.2627
0.3134 0.7500 0.1403
0.3301 0.7500 0.5812
0.6699 0.2500 0.4188
0.6866 0.2500 0.8597
0.9686 0.7500 0.7373
0.2774 0.2500 0.8297
0.7226 0.7500 0.1703
0.0589 0.2500 0.5633
0.0604 0.2500 0.9716
0.4745 0.7500 0.9157
0.5255 0.2500 0.0843
0.9396 0.7500 0.0284
0.9411 0.7500 0.4367
```

=====

Record 20
Ca2MgZn2 | PBE | optimized geometry

Summary:
Total magnetization in μB per atom: 0.000
E_form in eV per atom: -0.0608
D(E_F) in states/eV/cell: 1.09
Space group: I4/mmm (139)

Geometry as POSCAR:
```
Ca2MgZn2
1.0
-2.9314 2.9314 3.9667
2.9314 -2.9314 3.9667
2.9314 2.9314 -3.9667
Ca Mg Zn
2 1 2
direct
0.2500 0.7500 0.5000
0.7500 0.2500 0.5000
0.0000 0.0000 0.0000
0.3508 0.3508 0.0000
0.6492 0.6492 0.0000
```